(1)
# Ba2VNi (PBE-GGA, optimized geometry)
# * N(E_F): 16.66 states/eV/cell
# * ρ: 5.1 g/cm³
# * E_form: 2.9 eV/f.u.
data_Ba2VNi
_cell_length_a 7.932
_cell_length_b 7.932
_cell_length_c 7.932
_cell_angle_alpha 90.00
_cell_angle_beta 90.00
_cell_angle_gamma 90.00
_symmetry_space_group_name_H-M 'F m -3 m'
_symmetry_Int_Tables_number 225
_symmetry_space_group_name_Hall '-F 4 2 3'
loop_
_atom_site_label
_atom_site_fract_x
_atom_site_fract_y
_atom_site_fract_z
Ba1 0.250 0.250 0.250
V1 0.000 0.000 0.000
Ni1 0.000 0.000 0.500

---

(2)
# BaV3Ni (PBE-GGA, optimized geometry)
# * N(E_F): 8.86 states/eV/cell
# * ρ: 5.4 g/cm³
# * E_form: 4.8 eV/f.u.
# * offset from the most stable computed form: 0 meV per atom
data_BaV3Ni
_cell_length_a 4.755
_cell_length_b 4.755
_cell_length_c 4.755
_cell_angle_alpha 90.00
_cell_angle_beta 90.00
_cell_angle_gamma 90.00
_symmetry_space_group_name_H-M 'P m -3 m'
_symmetry_Int_Tables_number 221
_symmetry_space_group_name_Hall '-P 4 2 3'
loop_
_atom_site_label
_atom_site_fract_x
_atom_site_fract_y
_atom_site_fract_z
Ba1 0.000 0.000 0.000
V1 0.000 0.500 0.500
Ni1 0.500 0.500 0.500

---

(3)
# BaVNi3 (PBE-GGA, optimized geometry)
# * N(E_F): 6.02 states/eV/cell
# * ρ: 6.1 g/cm³
# * E_form: 2.7 eV/f.u.
# * offset from the most stable computed form: 0 meV per atom
data_BaVNi3
_cell_length_a 4.623
_cell_length_b 4.623
_cell_length_c 4.623
_cell_angle_alpha 90.00
_cell_angle_beta 90.00
_cell_angle_gamma 90.00
_symmetry_space_group_name_H-M 'P m -3 m'
_symmetry_Int_Tables_number 221
_symmetry_space_group_name_Hall '-P 4 2 3'
loop_
_atom_site_label
_atom_site_fract_x
_atom_site_fract_y
_atom_site_fract_z
Ba1 0.000 0.000 0.000
V1 0.500 0.500 0.500
Ni1 0.000 0.500 0.500

---

(4)
# BaVNi2 (PBE-GGA, optimized geometry)
# * N(E_F): 16.74 states/eV/cell
# * ρ: 5.3 g/cm³
# * E_form: 1.8 eV/f.u.
# * offset from the most stable computed form: 0 meV per atom
data_BaVNi2
_cell_length_a 5.007
_cell_length_b 5.007
_cell_length_c 15.288
_cell_angle_alpha 90.00
_cell_angle_beta 90.00
_cell_angle_gamma 90.00
_symmetry_space_group_name_H-M 'I 41/a m d'
_symmetry_Int_Tables_number 141
loop_
_symmetry_equiv_pos_as_xyz
'x,y,z'
'-x,-y,-z'
'-y+1/4,x+3/4,z+1/4'
'y+1/4,-x+3/4,-z+1/4'
'-x+1/2,-y,z+1/2'
'x+1/2,y,-z+1/2'
'y+1/4,-x+1/4,z+3/4'
'-y+1/4,x+1/4,-z+3/4'
'x,-y,-z'
'-x,y,z'
'-y+1/4,-x+1/4,-z+3/4'
'y+1/4,x+1/4,z+3/4'
'-x+1/2,y,-z+1/2'
'x+1/2,-y,z+1/2'
'y+1/4,x+3/4,-z+1/4'
'-y+1/4,-x+3/4,z+1/4'
'x+1/2,y+1/2,z+1/2'
'-x+1/2,-y+1/2,-z+1/2'
'-y+3/4,x+1/4,z+3/4'
'y+3/4,-x+1/4,-z+3/4'
'-x,-y+1/2,z'
'x,y+1/2,-z'
'y+3/4,-x+3/4,z+1/4'
'-y+3/4,x+3/4,-z+1/4'
'x+1/2,-y+1/2,-z+1/2'
'-x+1/2,y+1/2,z+1/2'
'-y+3/4,-x+3/4,-z+1/4'
'y+3/4,x+3/4,z+1/4'
'-x,y+1/2,-z'
'x,-y+1/2,z'
'y+3/4,x+1/4,-z+3/4'
'-y+3/4,-x+1/4,z+3/4'
loop_
_atom_site_label
_atom_site_fract_x
_atom_site_fract_y
_atom_site_fract_z
Ba1 0.000 0.250 0.375
V1 0.000 0.250 0.875
Ni1 0.000 0.000 0.000

---

(5)
# BaVNi3 (PBE-GGA, optimized geometry)
# * N(E_F): 8.69 states/eV/cell
# * ρ: 5.3 g/cm³
# * E_form: 10.1 eV/f.u.
# * offset from the most stable computed form: 1479 meV per atom
data_BaVNi3
_cell_length_a 4.865
_cell_length_b 4.865
_cell_length_c 4.865
_cell_angle_alpha 90.00
_cell_angle_beta 90.00
_cell_angle_gamma 90.00
_symmetry_space_group_name_H-M 'P m -3 m'
_symmetry_Int_Tables_number 221
_symmetry_space_group_name_Hall '-P 4 2 3'
loop_
_atom_site_label
_atom_site_fract_x
_atom_site_fract_y
_atom_site_fract_z
Ba1 0.000 0.000 0.000
V1 0.500 0.500 0.500
Ni1 0.000 0.000 0.500

---

(6)
# BaV2Ni2 (PBE-GGA, optimized geometry)
# * N(E_F): 15.78 states/eV/cell
# * ρ: 6.8 g/cm³
# * E_form: 2.9 eV/f.u.
# * offset from the most stable computed form: 243 meV per atom
data_BaV2Ni2
_cell_length_a 7.847
_cell_length_b 7.847
_cell_length_c 2.848
_cell_angle_alpha 90.00
_cell_angle_beta 90.00
_cell_angle_gamma 90.00
_symmetry_space_group_name_H-M 'P 4/m b m'
_symmetry_Int_Tables_number 127
_symmetry_space_group_name_Hall '-P 4 2ab'
loop_
_atom_site_label
_atom_site_fract_x
_atom_site_fract_y
_atom_site_fract_z
Ba1 0.000 0.000 0.000
V1 0.107 0.393 0.500
Ni1 0.171 0.671 0.000

---

(7)
# BaVNi2 (PBE-GGA, optimized geometry)
# * N(E_F): 21.02 states/eV/cell
# * ρ: 6.6 g/cm³
# * E_form: 3.0 eV/f.u.
# * offset from the most stable computed form: 295 meV per atom
data_BaVNi2
_cell_length_a 6.767
_cell_length_b 6.767
_cell_length_c 6.767
_cell_angle_alpha 90.00
_cell_angle_beta 90.00
_cell_angle_gamma 90.00
_symmetry_space_group_name_H-M 'F m -3 m'
_symmetry_Int_Tables_number 225
_symmetry_space_group_name_Hall '-F 4 2 3'
loop_
_atom_site_label
_atom_site_fract_x
_atom_site_fract_y
_atom_site_fract_z
Ba1 0.000 0.000 0.000
V1 0.000 0.000 0.500
Ni1 0.250 0.250 0.250

---

(8)
# BaV3Ni (PBE-GGA, optimized geometry)
# * N(E_F): 8.64 states/eV/cell
# * ρ: 5.5 g/cm³
# * E_form: 13.2 eV/f.u.
# * offset from the most stable computed form: 1677 meV per atom
data_BaV3Ni
_cell_length_a 4.725
_cell_length_b 4.725
_cell_length_c 4.725
_cell_angle_alpha 90.00
_cell_angle_beta 90.00
_cell_angle_gamma 90.00
_symmetry_space_group_name_H-M 'P m -3 m'
_symmetry_Int_Tables_number 221
_symmetry_space_group_name_Hall '-P 4 2 3'
loop_
_atom_site_label
_atom_site_fract_x
_atom_site_fract_y
_atom_site_fract_z
Ba1 0.000 0.000 0.000
V1 0.000 0.000 0.500
Ni1 0.500 0.500 0.500

---

(9)
# BaV2Ni2 (PBE-GGA, optimized geometry)
# * N(E_F): 12.86 states/eV/cell
# * ρ: 5.8 g/cm³
# * E_form: 1.7 eV/f.u.
# * offset from the most stable computed form: 0 meV per atom
data_BaV2Ni2
_cell_length_a 3.997
_cell_length_b 3.997
_cell_length_c 12.726
_cell_angle_alpha 90.00
_cell_angle_beta 90.00
_cell_angle_gamma 90.00
_symmetry_space_group_name_H-M 'I 4/m m m'
_symmetry_Int_Tables_number 139
_symmetry_space_group_name_Hall '-I 4 2'
loop_
_atom_site_label
_atom_site_fract_x
_atom_site_fract_y
_atom_site_fract_z
Ba1 0.000 0.000 0.000
V1 0.000 0.500 0.250
Ni1 0.000 0.000 0.354

---

(10)
# BaZrV2Ni (PBE-GGA, optimized geometry)
# * N(E_F): 4.82 states/eV/cell
# * ρ: 4.7 g/cm³
# * E_form: 8.6 eV/f.u.
data_BaZrV2Ni
_cell_length_a 4.754
_cell_length_b 4.754
_cell_length_c 6.064
_cell_angle_alpha 90.00
_cell_angle_beta 90.00
_cell_angle_gamma 90.00
_symmetry_space_group_name_H-M 'P 4/m m m'
_symmetry_Int_Tables_number 123
_symmetry_space_group_name_Hall '-P 4 2'
loop_
_atom_site_label
_atom_site_fract_x
_atom_site_fract_y
_atom_site_fract_z
Ba1 0.000 0.000 0.000
Zr1 0.000 0.000 0.500
V1 0.000 0.500 0.500
Ni1 0.500 0.500 0.000

---

(11)
# BaNiW2 (PBE-GGA, optimized geometry)
# * N(E_F): 8.98 states/eV/cell
# * ρ: 11.9 g/cm³
# * E_form: 3.8 eV/f.u.
# * offset from the most stable computed form: 302 meV per atom
data_BaNiW2
_cell_length_a 2.806
_cell_length_b 4.926
_cell_length_c 11.336
_cell_angle_alpha 90.00
_cell_angle_beta 90.00
_cell_angle_gamma 90.00
_symmetry_space_group_name_H-M 'I m m m'
_symmetry_Int_Tables_number 71
_symmetry_space_group_name_Hall '-I 2 2'
loop_
_atom_site_label
_atom_site_fract_x
_atom_site_fract_y
_atom_site_fract_z
Ba1 0.000 0.000 0.000
Ni1 0.000 0.000 0.500
W1 0.000 0.500 0.207

---

(12)
# BaNiW3 (PBE-GGA, optimized geometry)
# * N(E_F): 6.73 states/eV/cell
# * ρ: 10.4 g/cm³
# * E_form: 20.3 eV/f.u.
# * offset from the most stable computed form: 2225 meV per atom
data_BaNiW3
_cell_length_a 4.929
_cell_length_b 4.929
_cell_length_c 4.929
_cell_angle_alpha 90.00
_cell_angle_beta 90.00
_cell_angle_gamma 90.00
_symmetry_space_group_name_H-M 'P m -3 m'
_symmetry_Int_Tables_number 221
_symmetry_space_group_name_Hall '-P 4 2 3'
loop_
_atom_site_label
_atom_site_fract_x
_atom_site_fract_y
_atom_site_fract_z
Ba1 0.000 0.000 0.000
Ni1 0.500 0.500 0.500
W1 0.000 0.000 0.500